Record 1
{
  "formula": "Tb2Ho5Tl4",
  "functional": "PBE-GGA",
  "state": "optimized geometry",
  "lattice": [[-1.837, 1.543, -2.496], [4.772, -3.929, -5.942], [-10.663, -9.870, 4.148]],
  "species": ["Tb", "Tb", "Ho", "Ho", "Ho", "Ho", "Ho", "Tl", "Tl", "Tl", "Tl"],
  "fractional_positions": [[0.097, 0.097, 0.194], [0.903, 0.903, 0.806], [0.202, 0.399, 0.403], [0.798, 0.601, 0.597], [0.202, 0.004, 0.403], [0.500, 0.000, 0.000], [0.798, 0.996, 0.597], [0.697, 0.697, 0.394], [0.000, 0.318, 0.000], [0.303, 0.303, 0.606], [0.000, 0.682, 0.000]],
  "formation_energy_mev_per_atom": 337
}

***

Record 2
{
  "formula": "Cs3PmBi2O6",
  "functional": "PBE-GGA",
  "state": "optimized geometry",
  "lattice": [[6.538, 0.000, 0.000], [-3.269, 5.662, 0.000], [0.000, 0.000, 7.966]],
  "species": ["Cs", "Cs", "Cs", "Pm", "Bi", "Bi", "O", "O", "O", "O", "O", "O"],
  "fractional_positions": [[0.333, 0.667, 0.657], [0.667, 0.333, 0.343], [0.000, 0.000, 0.000], [0.000, 0.000, 0.500], [0.667, 0.333, 0.797], [0.333, 0.667, 0.203], [0.661, 0.830, 0.324], [0.170, 0.339, 0.324], [0.170, 0.830, 0.324], [0.830, 0.661, 0.676], [0.339, 0.170, 0.676], [0.830, 0.170, 0.676]],
  "formation_energy_uncorrected_ev_per_atom": -1.76
}

***

Record 3
{
  "formula": "FeMo2Cl",
  "functional": "PBE-GGA",
  "state": "optimized geometry",
  "lattice": [[-0.532, 1.055, -2.824], [0.750, -2.839, -1.202], [-6.739, -2.004, 0.522]],
  "species": ["Mo", "Mo", "Fe", "Cl"],
  "fractional_positions": [[0.000, 0.001, 0.001], [0.500, 0.501, 0.203], [0.500, 0.501, 0.790], [0.000, 0.497, 0.506]],
  "formation_energy_uncorrected_ev_per_atom": 0.28,
  "polymorph_energy_kj_per_mol_atoms": 0.0
}

***

Record 4
{
  "formula": "Ti2CrRh",
  "functional": "PBE-GGA",
  "state": "optimized geometry",
  "lattice": [[-1.084, 1.716, -2.259], [-1.093, -2.485, -1.362], [-5.346, 0.668, 3.072]],
  "species": ["Cr", "Rh", "Ti", "Ti"],
  "fractional_positions": [[0.500, 0.500, 0.000], [0.500, 0.500, 0.500], [0.000, 0.000, 0.763], [0.000, 0.000, 0.237]],
  "formation_energy_mev_per_atom": -481
}

***

Record 5
{
  "formula": "TiTc2Sn2",
  "functional": "PBE-GGA",
  "state": "optimized geometry",
  "lattice": [[-5.902, -3.735, -2.101], [2.720, -6.028, 3.077], [-1.554, 0.801, 2.942]],
  "species": ["Ti", "Ti", "Sn", "Sn", "Sn", "Sn", "Tc", "Tc", "Tc", "Tc"],
  "fractional_positions": [[0.000, 0.000, 0.000], [0.500, 0.500, 0.000], [0.162, 0.662, 0.500], [0.662, 0.838, 0.500], [0.838, 0.338, 0.500], [0.338, 0.162, 0.500], [0.362, 0.862, 0.000], [0.862, 0.638, 0.000], [0.638, 0.138, 0.000], [0.138, 0.362, 0.000]],
  "formation_energy_mev_per_atom": 82
}

***

Record 6
{
  "formula": "MgZnNi2",
  "functional": "PBE-GGA",
  "state": "optimized geometry",
  "lattice": [[-1.982, 3.819, -0.983], [-3.954, 1.920, -0.401], [-0.583, 1.891, 4.197]],
  "species": ["Mg", "Ni", "Ni", "Zn"],
  "fractional_positions": [[0.250, 0.250, 0.250], [0.006, 0.006, 0.982], [0.494, 0.494, 0.518], [0.750, 0.750, 0.750]],
  "formation_energy_mev_per_atom": -78
}

***

Record 7
{
  "formula": "Fe2CuSe",
  "functional": "PBE-GGA",
  "state": "optimized geometry",
  "lattice": [[4.170, 0.000, 0.000], [0.000, 2.708, 0.040], [0.000, 0.984, 4.969]],
  "species": ["Cu", "Fe", "Fe", "Se"],
  "fractional_positions": [[0.500, 0.877, 0.785], [0.000, 0.209, 0.985], [0.500, 0.342, 0.233], [0.000, 0.072, 0.497]],
  "formation_energy_uncorrected_ev_per_atom": 0.29
}

***

Record 8
{
  "formula": "Ti2MnAu2",
  "functional": "PBE-GGA",
  "state": "optimized geometry",
  "lattice": [[-4.026, -1.060, -5.696], [1.967, -6.774, -0.129], [-2.633, -0.803, 2.011]],
  "species": ["Mn", "Mn", "Au", "Au", "Au", "Au", "Ti", "Ti", "Ti", "Ti"],
  "fractional_positions": [[0.000, 0.000, 0.000], [0.500, 0.500, 0.000], [0.364, 0.864, 0.000], [0.864, 0.636, 0.000], [0.636, 0.136, 0.000], [0.136, 0.364, 0.000], [0.171, 0.671, 0.500], [0.671, 0.829, 0.500], [0.829, 0.329, 0.500], [0.329, 0.171, 0.500]],
  "formation_energy_mev_per_atom": 136
}

***

Record 9
{
  "formula": "BP",
  "functional": "PBE-GGA",
  "state": "optimized geometry",
  "lattice": [[-1.847, -1.749, -1.978], [-1.564, -1.206, 2.526], [-3.022, 3.447, -0.225]],
  "species": ["P", "P", "B", "B"],
  "fractional_positions": [[0.250, 0.000, 0.662], [0.750, 0.000, 0.338], [0.250, 0.500, 0.905], [0.750, 0.500, 0.095]],
  "formation_energy_mev_per_atom": -84
}

***

Record 10
{
  "formula": "Tb2HoZrN4",
  "functional": "PBE-GGA",
  "state": "optimized geometry",
  "lattice": [[-2.458, 0.026, -2.362], [2.112, -5.039, -2.254], [-4.015, -1.257, 4.165]],
  "species": ["Tb", "Tb", "Ho", "Zr", "N", "N", "N", "N"],
  "fractional_positions": [[0.500, 0.000, 0.500], [0.000, 0.500, 0.500], [0.500, 0.500, 0.000], [0.000, 0.000, 0.000], [0.500, 0.237, 0.235], [0.500, 0.763, 0.765], [0.000, 0.244, 0.761], [0.000, 0.756, 0.239]],
  "formation_energy_uncorrected_ev_per_atom": -1.72
}

***

Record 11
{
  "formula": "La4Tb2Pr2Ho",
  "functional": "PBE-GGA",
  "state": "optimized geometry",
  "lattice": [[-0.249, -2.434, -2.757], [9.307, -1.081, 2.579], [-2.467, -6.360, 5.836]],
  "species": ["La", "La", "La", "La", "Tb", "Tb", "Pr", "Pr", "Ho"],
  "fractional_positions": [[0.777, 0.555, 0.668], [0.223, 0.445, 0.332], [0.554, 0.108, 0.331], [0.446, 0.892, 0.669], [0.889, 0.778, 0.334], [0.111, 0.222, 0.666], [0.336, 0.671, 0.002], [0.664, 0.329, 0.998], [0.000, 0.000, 0.000]],
  "formation_energy_mev_per_atom": 23
}

***

Record 12
{
  "formula": "Pm8SiPt3I4",
  "functional": "PBE-GGA",
  "state": "optimized geometry",
  "lattice": [[8.567, 0.000, 0.000], [0.000, 9.314, 0.534], [-4.284, -4.289, 6.056]],
  "species": ["Pm", "Pm", "Pm", "Pm", "Pm", "Pm", "Pm", "Pm", "Si", "Pt", "Pt", "Pt", "I", "I", "I", "I"],
  "fractional_positions": [[0.233, 0.690, 0.957], [0.233, 0.689, 0.466], [0.271, 0.313, 0.542], [0.724, 0.690, 0.957], [0.276, 0.310, 0.043], [0.729, 0.687, 0.458], [0.767, 0.311, 0.534], [0.767, 0.310, 0.043], [0.000, 0.500, 0.000], [0.500, 0.500, 0.000], [0.500, 0.500, 0.500], [0.000, 0.500, 0.500], [0.500, 0.000, 0.000], [0.500, 0.000, 0.500], [0.000, 0.000, 0.000], [0.000, 0.000, 0.500]],
  "formation_energy_uncorrected_ev_per_atom": -1.04
}